## Sm4Bi2O (SCAN)

Data for a crystal of Sm4Bi2O relaxed with PBEsol.

Structure (POSCAR):
```
Sm4Bi2O
1.0
-4.561 -0.355 0.667
0.714 -3.365 3.090
2.380 7.667 4.339
Sm Bi O
4 2 1
Direct
0.500 0.000 0.000
0.000 0.500 0.000
0.827 0.827 0.654
0.173 0.173 0.346
0.360 0.360 0.719
0.640 0.640 0.281
0.000 0.000 0.000
```

The energy relative to the elements, uncorrected is -142 kJ per mole of atoms. Its space-group type is I4/mmm, No. 139.

=====

## Sn2Bi2O7 (SCAN)

Data for a crystal of Sn2Bi2O7 relaxed with PBEsol.

Structure (POSCAR):
```
Sn2Bi2O7
1.0
7.510 0.000 0.000
3.755 6.504 0.000
3.755 2.168 6.132
Bi O Sn
4 14 4
Direct
0.625 0.625 0.125
0.625 0.625 0.625
0.125 0.625 0.625
0.625 0.125 0.625
0.042 0.458 0.042
0.792 0.208 0.208
0.458 0.458 0.042
0.792 0.208 0.792
0.208 0.208 0.792
0.208 0.792 0.792
0.208 0.792 0.208
0.458 0.042 0.042
0.500 0.500 0.500
0.458 0.042 0.458
0.042 0.042 0.458
0.042 0.458 0.458
0.792 0.792 0.208
0.750 0.750 0.750
0.125 0.625 0.125
0.625 0.125 0.125
0.125 0.125 0.125
0.125 0.125 0.625
```

The energy relative to the elements, uncorrected is -147 kJ per mole of atoms. Its space-group type is Fd-3m, No. 227.

=====

## Y3Sn4BiO14 (SCAN)

Data for a crystal of Y3Sn4BiO14 relaxed with PBEsol.

Structure (POSCAR):
```
Y3Sn4BiO14
1.0
-1.191 -2.764 6.727
-2.766 -6.791 0.731
4.275 -5.442 2.532
Sn O Y Bi
4 14 3 1
Direct
0.500 0.000 0.000
0.000 0.000 0.500
0.000 0.000 0.000
0.000 0.500 0.000
0.662 0.662 0.082
0.662 0.082 0.662
0.371 0.371 0.371
0.088 0.662 0.088
0.338 0.918 0.338
0.338 0.338 0.918
0.912 0.338 0.912
0.338 0.912 0.912
0.918 0.338 0.338
0.662 0.088 0.088
0.629 0.629 0.629
0.082 0.662 0.662
0.088 0.088 0.662
0.912 0.912 0.338
0.500 0.500 0.000
0.500 0.000 0.500
0.000 0.500 0.500
0.500 0.500 0.500
```

The energy relative to the elements, uncorrected is -243 kJ per mole of atoms. Its space-group type is R-3m, No. 166.

=====

## YSn2BiO7 (SCAN)

Data for a crystal of YSn2BiO7 relaxed with PBEsol.

Structure (POSCAR):
```
YSn2BiO7
1.0
-6.563 3.405 0.000
-3.699 0.899 -6.376
-6.190 -3.903 -1.262
O Sn Y Bi
14 4 2 2
Direct
0.092 0.081 0.164
0.616 0.634 0.134
0.337 0.336 0.419
0.092 0.664 0.581
0.085 0.665 0.165
0.664 0.086 0.586
0.663 0.664 0.581
0.336 0.914 0.414
0.908 0.336 0.419
0.915 0.335 0.835
0.663 0.081 0.164
0.384 0.366 0.866
0.908 0.919 0.836
0.337 0.919 0.836
0.000 0.000 0.000
0.000 0.500 0.500
0.500 0.000 0.500
0.000 0.000 0.500
0.500 0.000 0.000
0.500 0.500 0.500
0.500 0.500 0.000
0.000 0.500 0.000
```

The energy relative to the elements, uncorrected is -211 kJ per mole of atoms. Its space-group type is Imma, No. 74.

=====

## Sr2BiO (SCAN)

Data for a crystal of Sr2BiO relaxed with PBEsol.

Structure (POSCAR):
```
Sr2BiO
1.0
-5.691 0.968 3.574
5.291 -2.079 3.711
2.561 5.662 -2.734
O Sr Bi
2 4 2
Direct
0.000 0.500 0.500
0.500 0.250 0.750
0.387 0.512 0.625
0.113 0.875 0.488
0.613 0.238 0.125
0.887 0.375 0.762
0.500 0.750 0.250
0.000 0.000 0.000
```

The energy relative to the elements, uncorrected is -168 kJ per mole of atoms. Its space-group type is I-42d, No. 122.

=====

## Sr2BiO (SCAN)

Data for a crystal of Sr2BiO relaxed with PBEsol.

Structure (POSCAR):
```
Sr2BiO
1.0
5.368 0.000 0.000
2.684 4.649 0.000
2.684 1.550 4.383
Sr Bi O
2 1 1
Direct
0.750 0.750 0.750
0.250 0.250 0.250
0.500 0.500 0.500
0.000 0.000 0.000
```

The energy relative to the elements, uncorrected is -91 kJ per mole of atoms. Its space-group type is Fm-3m, No. 225.

=====

The lowest energy relative to the elements, uncorrected belongs to which entry? Y3Sn4BiO14

=====

Copy entry 5 word for word.
## Sr2BiO (SCAN)

Data for a crystal of Sr2BiO relaxed with PBEsol.

Structure (POSCAR):
```
Sr2BiO
1.0
-5.691 0.968 3.574
5.291 -2.079 3.711
2.561 5.662 -2.734
O Sr Bi
2 4 2
Direct
0.000 0.500 0.500
0.500 0.250 0.750
0.387 0.512 0.625
0.113 0.875 0.488
0.613 0.238 0.125
0.887 0.375 0.762
0.500 0.750 0.250
0.000 0.000 0.000
```

The energy relative to the elements, uncorrected is -168 kJ per mole of atoms. Its space-group type is I-42d, No. 122.

=====

Copy entry 2 word for word.
## Sn2Bi2O7 (SCAN)

Data for a crystal of Sn2Bi2O7 relaxed with PBEsol.

Structure (POSCAR):
```
Sn2Bi2O7
1.0
7.510 0.000 0.000
3.755 6.504 0.000
3.755 2.168 6.132
Bi O Sn
4 14 4
Direct
0.625 0.625 0.125
0.625 0.625 0.625
0.125 0.625 0.625
0.625 0.125 0.625
0.042 0.458 0.042
0.792 0.208 0.208
0.458 0.458 0.042
0.792 0.208 0.792
0.208 0.208 0.792
0.208 0.792 0.792
0.208 0.792 0.208
0.458 0.042 0.042
0.500 0.500 0.500
0.458 0.042 0.458
0.042 0.042 0.458
0.042 0.458 0.458
0.792 0.792 0.208
0.750 0.750 0.750
0.125 0.625 0.125
0.625 0.125 0.125
0.125 0.125 0.125
0.125 0.125 0.625
```

The energy relative to the elements, uncorrected is -147 kJ per mole of atoms. Its space-group type is Fd-3m, No. 227.